No. 1
This record from Alexandria describes a geometry-optimized SrCd2Co structure. The functional is GGA-PBEsol.

M_tot in μB/cell: 0.8
Space group: No. 139
E_tot in eV per cell: -10.84
Calculated density in g cm⁻³: 7.28

a b c (Å): 4.3759 4.3759 5.3998
angles (deg): 113.90 113.90 90.00
Sites, in units of the cell vectors:
Cd (0.7500, 0.2500, 0.5000)
Cd (0.2500, 0.7500, 0.5000)
Co (0.5000, 0.5000, 0.0000)
Sr (0.0000, 0.0000, 0.0000)

***

No. 2
This record from Alexandria describes a geometry-optimized SrCd2Co structure. The functional is GGA-PBEsol.

M_tot in μB/cell: 1.1
Space group: No. 123
E_tot in eV per cell: -10.59
Calculated density in g cm⁻³: 7.02

a b c (Å): 4.2736 4.2736 4.8076
angles (deg): 90.00 90.00 90.00
Sites, in units of the cell vectors:
Cd (0.0000, 0.5000, 0.0000)
Cd (0.5000, 0.0000, 0.0000)
Co (0.5000, 0.5000, 0.5000)
Sr (0.0000, 0.0000, 0.5000)

***

No. 3
This record from Alexandria describes a geometry-optimized SrCdCo2Te structure. The functional is GGA-PBEsol.

Uncorrected formation energy in eV/atom: 0.8311
M_tot in μB/cell: 3.7
Space group: No. 123
Calculated density in g cm⁻³: 5.54

a b c (Å): 4.7767 4.7767 5.8509
angles (deg): 90.00 90.00 90.00
Sites, in units of the cell vectors:
Sr (0.0000, 0.0000, 0.5000)
Te (0.5000, 0.5000, 0.5000)
Co (0.0000, 0.5000, 0.0000)
Co (0.5000, 0.0000, 0.0000)
Cd (0.0000, 0.0000, 0.0000)